(1)
This record from the Alexandria database describes a relaxed structure of Ta2VSn. The functional is PBE-GGA.

Cell: 3.9529 3.9529 10.3908 Å, 79.03 79.03 90.00°
Closest atoms and distances in Å follow each position.
Atoms (fractional coordinates):
1 Ta 0.8750 0.8714 0.7500  4 Ta 2.78-2.82, 2 V 2.86, 2 Sn 2.87
2 Sn 0.7500 0.2500 0.5000  4 V 2.80, 4 Ta 2.87
3 Ta 0.6214 0.1250 0.2500  4 Ta 2.78-2.82, 2 V 2.86, 2 Sn 2.87
4 V 0.5000 0.5000 0.0000  4 Sn 2.80, 4 Ta 2.86
5 Sn 0.0000 0.0000 0.0000  4 V 2.80, 4 Ta 2.87
6 V 0.2500 0.7500 0.5000  4 Sn 2.80, 4 Ta 2.86
7 Ta 0.3750 0.3786 0.7500  4 Ta 2.78-2.82, 2 V 2.86, 2 Sn 2.87
8 Ta 0.1286 0.6250 0.2500  4 Ta 2.78-2.82, 2 V 2.86, 2 Sn 2.87

***

(2)
This record from the Alexandria database describes a relaxed structure of Ta3VSn. The functional is PBE-GGA.

Cell: 4.9969 4.9969 4.9969 Å, 90.00 90.00 90.00°
Closest atoms and distances in Å follow each position.
Atoms (fractional coordinates):
1 Ta 0.0000 0.5000 0.0000  2 Sn 2.50
2 Ta 0.0000 0.0000 0.5000  2 Sn 2.50
3 Sn 0.0000 0.0000 0.0000  6 Ta 2.50
4 Ta 0.5000 0.0000 0.0000  2 Sn 2.50
5 V 0.5000 0.5000 0.5000  12 Ta 3.53

Calculated values
The value obtained for the energy relative to the lowest polymorph listed for this composition is 1.1796 eV per atom.

***

no.,energy of formation (eV/atom),E_tot (eV per atom),calculated volume (A^3/atom)
1,0.629,-8.578,19.5
2,2.143,-7.593,25.0